No. 1
Below is crystalline K2NaHg2 at its relaxed geometry, with properties calculated at the PBE level.

- Energy above the lowest structure with this stoichiometry: 0.011 kcal/mol of atoms
- Formation energy: -209 meV per atom

Cell lengths 8.6615, 8.6615, 5.1322 Å; angles 90.00, 90.00, 90.00 degrees
Closest atoms and distances in Å follow each position.
Space group P4/mbm (No. 127)
Asymmetric unit:
K 0.1745 0.3255 0.0000  6 Hg 3.55-3.67
Na 0.0000 0.0000 0.5000  4 Hg 3.42
Hg 0.1250 0.6250 0.5000  1 Hg 3.06, 2 Na 3.42

No. 2
Below is crystalline K4NaHg5 at its relaxed geometry, with properties calculated at the PBE level.

- Formation energy: -222 meV per atom

Cell lengths 4.1316, 4.1316, 20.6555 Å; angles 90.00, 90.00, 90.00 degrees
Closest atoms and distances in Å follow each position.
Space group P4/mmm (No. 123)
Asymmetric unit:
K 0.0000 0.0000 0.1048  8 Hg 3.63-3.64
K 0.0000 0.0000 0.3161  8 Hg 3.66-3.69, 1 Na 3.80
Na 0.0000 0.0000 0.5000  8 Hg 3.30
Hg 0.5000 0.5000 0.0000  8 K 3.64
Hg 0.5000 0.5000 0.2091  8 K 3.63-3.66
Hg 0.5000 0.5000 0.4256  1 Hg 3.07, 4 Na 3.30

No. 3
Below is crystalline K3Na4Hg at its relaxed geometry, with properties calculated at the PBE level.

- Formation energy: -40 meV per atom

Cell lengths 7.0185, 13.7130, 7.8714 Å; angles 90.00, 90.00, 90.00 degrees
Closest atoms and distances in Å follow each position.
Space group Pmmn (No. 59, origin choice 2)
Asymmetric unit:
K 0.2500 0.0069 0.1700  1 Hg 3.53, 1 Na 3.91
K 0.2500 0.7500 0.5615  2 Hg 3.64
Na 0.0016 0.2500 0.9699  1 Hg 3.24, 2 Na 3.49-3.53
Na 0.2500 0.1053 0.6362  1 Hg 3.20
Hg 0.2500 0.2500 0.3171  4 Na 3.20-3.24, 2 K 3.53

No. 4
Below is crystalline K3NaHg2 at its relaxed geometry, with properties calculated at the PBE level.

- Energy above the lowest structure with this stoichiometry: 0.000 kcal/mol of atoms
- Formation energy: -160 meV per atom

Cell lengths 20.3605, 5.0180, 12.9378 Å; angles 90.00, 121.34, 90.00 degrees
Closest atoms and distances in Å follow each position.
Space group C2/m (No. 12)
Asymmetric unit:
K 0.0814 0.0000 0.3963  3 Hg 3.55-3.59
K 0.0995 0.0000 0.9921  3 Hg 3.56-3.66
K 0.1405 0.5000 0.7252  4 Hg 3.59-3.69
Na 0.1990 0.5000 0.2730  4 Hg 3.22-3.28
Hg 0.2277 0.5000 0.5453  2 Hg 3.10, 3 Na 3.22-3.26
Hg 0.2398 0.5000 0.0586  2 Hg 3.07, 1 Na 3.28

No. 5
Below is crystalline K2NaHg at its relaxed geometry, with properties calculated at the PBE level.

- Energy above the lowest structure with this stoichiometry: 0.688 kcal/mol of atoms
- Formation energy: -99 meV per atom

Cell lengths 4.3447, 4.3447, 9.4289 Å; angles 90.00, 90.00, 90.00 degrees
Closest atoms and distances in Å follow each position.
Space group P4/mmm (No. 123)
Asymmetric unit:
K 0.0000 0.0000 0.2179  4 Hg 3.70, 4 Na 4.06, 1 K 4.11
Na 0.5000 0.5000 0.5000  8 K 4.06, 4 Na 4.34
Hg 0.5000 0.5000 0.0000  8 K 3.70

No. 6
Below is crystalline KNa10Hg3 at its relaxed geometry, with properties calculated at the PBE level.

- Formation energy: -100 meV per atom

Cell lengths 15.9873, 15.9873, 15.9873 Å; angles 90.00, 90.00, 90.00 degrees
Closest atoms and distances in Å follow each position.
Space group Fm-3m (No. 225)
Asymmetric unit:
K 0.2500 0.2500 0.2500  4 Na 3.84
Na 0.0000 0.1691 0.1691  2 Hg 3.13
Na 0.1112 0.1112 0.3888  3 Hg 3.18, 3 Na 3.56
Hg 0.0000 0.0000 0.2674  8 Na 3.13-3.18

No. 7
Below is crystalline K2Na5Hg2 at its relaxed geometry, with properties calculated at the PBE level.

- Formation energy: -127 meV per atom

Cell lengths 6.7796, 6.7961, 8.9204 Å; angles 108.45, 94.89, 117.73 degrees
Closest atoms and distances in Å follow each position.
Space group P-1 (No. 2)
Asymmetric unit:
K 0.2159 0.3952 0.1134  3 Hg 3.70-3.80, 6 Na 3.92-4.14
Na 0.1841 0.4536 0.6171  3 Hg 3.25-3.49, 4 Na 3.50-3.52
Na 0.3153 0.0367 0.3742  3 Hg 3.21-3.50, 4 Na 3.50-3.53
Na 0.5000 0.0000 0.0000  2 Hg 3.13
Hg 0.2074 0.0048 0.7123  6 Na 3.13-3.49

No. 8
Below is crystalline K3Na5Hg2 at its relaxed geometry, with properties calculated at the PBE level.

- Energy above the lowest structure with this stoichiometry: 0.000 kcal/mol of atoms
- Formation energy: -109 meV per atom

Cell lengths 12.7741, 12.7741, 4.9791 Å; angles 90.00, 90.00, 90.00 degrees
Closest atoms and distances in Å follow each position.
Space group P4/mbm (No. 127)
Asymmetric unit:
K 0.0000 0.0000 0.0000  8 Na 3.95
K 0.1715 0.3285 0.0000  3 Hg 3.75-3.79, 6 Na 3.97-4.15
Na 0.0000 0.5000 0.5000  4 Hg 3.31, 4 Na 3.60
Na 0.0745 0.7721 0.5000  2 Hg 3.21, 1 Na 3.57
Hg 0.1207 0.6207 0.0000  6 Na 3.21-3.31

No. 9
Below is crystalline KNa12Hg6 at its relaxed geometry, with properties calculated at the PBE level.

- Energy above the lowest structure with this stoichiometry: 0.061 kcal/mol of atoms
- Formation energy: -136 meV per atom

Cell lengths 14.1294, 14.1294, 10.9822 Å; angles 90.00, 90.00, 120.00 degrees
Closest atoms and distances in Å follow each position.
Space group R-3m (No. 166, hexagonal axes)
Asymmetric unit:
K 0.0000 0.0000 0.0000  18 Na 4.34-4.77, 6 Hg 4.54
Na 0.0000 0.3825 0.5000  4 Hg 3.06-3.13, 1 Na 3.32
Na 0.0896 0.1791 0.3411  3 Hg 3.15-3.29
Hg 0.0321 0.5161 0.2606  7 Na 3.06-3.29

No. 10
Below is crystalline K3Na5Hg2 at its relaxed geometry, with properties calculated at the PBE level.

- Energy above the lowest structure with this stoichiometry: 0.982 kcal/mol of atoms
- Formation energy: -67 meV per atom

Cell lengths 15.0286, 15.2143, 7.3390 Å; angles 90.00, 90.00, 90.00 degrees
Closest atoms and distances in Å follow each position.
Space group Ibam (No. 72)
Asymmetric unit:
K 0.0000 0.0000 0.2500  4 Hg 3.61, 2 K 3.67, 2 Na 4.00
K 0.2340 0.1426 0.0000  3 Hg 3.65-3.96, 4 Na 3.98-4.04
Na 0.0000 0.2630 0.2500  2 Hg 3.21
Na 0.0000 0.5000 0.2500  8 Na 3.47-3.67
Na 0.1675 0.3999 0.0000  1 Hg 3.06
Hg 0.1361 0.1543 0.5000  3 Na 3.06-3.21

No. 11
Below is crystalline KNaHg2 at its relaxed geometry, with properties calculated at the PBE level.

- Energy above the lowest structure with this stoichiometry: 1.116 kcal/mol of atoms
- Formation energy: -196 meV per atom

Cell lengths 5.4927, 5.4927, 4.2631 Å; angles 90.00, 90.00, 90.00 degrees
Closest atoms and distances in Å follow each position.
Space group P4/mmm (No. 123)
Asymmetric unit:
K 0.0000 0.0000 0.0000  8 Hg 3.48, 4 Na 3.88
Na 0.5000 0.5000 0.0000  8 Hg 3.48, 4 K 3.88
Hg 0.0000 0.5000 0.5000  4 K 3.48, 4 Na 3.48, 4 Hg 3.88

No. 12
Below is crystalline K4Na2Hg at its relaxed geometry, with properties calculated at the PBE level.

- Energy above the lowest structure with this stoichiometry: 0.000 kcal/mol of atoms
- Formation energy: -55 meV per atom

Cell lengths 14.8081, 6.3790, 8.3872 Å; angles 90.00, 114.94, 90.00 degrees
Closest atoms and distances in Å follow each position.
Space group C2/m (No. 12)
Asymmetric unit:
K 0.0271 0.0000 0.2576  2 Hg 3.78, 3 Na 4.00, 1 K 4.05
K 0.1731 0.5000 0.7970  1 Hg 3.63, 2 Na 4.05
Na 0.2042 0.5000 0.3361  1 Hg 3.15
Hg 0.0000 0.5000 0.0000  2 Na 3.15

Repeat the ninth record exactly.
Below is crystalline KNa12Hg6 at its relaxed geometry, with properties calculated at the PBE level.

- Energy above the lowest structure with this stoichiometry: 0.061 kcal/mol of atoms
- Formation energy: -136 meV per atom

Cell lengths 14.1294, 14.1294, 10.9822 Å; angles 90.00, 90.00, 120.00 degrees
Closest atoms and distances in Å follow each position.
Space group R-3m (No. 166, hexagonal axes)
Asymmetric unit:
K 0.0000 0.0000 0.0000  18 Na 4.34-4.77, 6 Hg 4.54
Na 0.0000 0.3825 0.5000  4 Hg 3.06-3.13, 1 Na 3.32
Na 0.0896 0.1791 0.3411  3 Hg 3.15-3.29
Hg 0.0321 0.5161 0.2606  7 Na 3.06-3.29

> formation energy of number 4 (K3NaHg2)?

-160 meV per atom

> Which value of formation energy does entry 12 give?

-55 meV per atom

What did the sixth record say?
Below is crystalline KNa10Hg3 at its relaxed geometry, with properties calculated at the PBE level.

- Formation energy: -100 meV per atom

Cell lengths 15.9873, 15.9873, 15.9873 Å; angles 90.00, 90.00, 90.00 degrees
Closest atoms and distances in Å follow each position.
Space group Fm-3m (No. 225)
Asymmetric unit:
K 0.2500 0.2500 0.2500  4 Na 3.84
Na 0.0000 0.1691 0.1691  2 Hg 3.13
Na 0.1112 0.1112 0.3888  3 Hg 3.18, 3 Na 3.56
Hg 0.0000 0.0000 0.2674  8 Na 3.13-3.18